Record 1
This record from Alexandria via LeMat-Bulk describes crystalline KIrC2O8 at its relaxed geometry. The functional is GGA-PBE.

It has space group C2/m (No. 12), with a = 7.673 Å, b = 4.951 Å, c = 7.923 Å, α = 90.00°, β = 95.42° and γ = 90.00°. The inequivalent atoms are K at (0.000, 0.000, 0.000), Ir at (0.000, 0.000, 0.500), C at (0.132, 0.500, 0.313), O at (0.013, 0.271, 0.325), O at (0.195, 0.500, 0.169) and O at (0.248, 0.500, 0.464).

Its formation energy from raw total energies is -0.87 eV/atom. As for the total DFT energy (no corrections): -6.546 eV/atom. The calculation puts the density at 4.25 Mg/m³.

Record 2
This record from Alexandria via LeMat-Bulk describes crystalline PmYTm2 at its relaxed geometry. The functional is GGA-PBE.

It has space group P4/mmm (No. 123), with a = 5.030 Å, b = 5.030 Å, c = 5.002 Å, α = 90.00°, β = 90.00° and γ = 90.00°. The inequivalent atoms are Pm at (0.000, 0.000, 0.000), Y at (0.500, 0.500, 0.000) and Tm at (0.000, 0.500, 0.500).

Its energy above the lowest structure with this stoichiometry is 14 meV/atom. As for the total DFT energy (no corrections): -5.012 eV/atom. The calculation puts the density at 7.50 Mg/m³. Its formation energy is 0.0270 eV/atom.

Record 3
This record from Alexandria via LeMat-Bulk describes crystalline ThSc at its relaxed geometry. The functional is GGA-PBE.

It has space group R-3m (No. 166, hexagonal axes), with a = 3.4604 Å, b = 3.4604 Å, c = 16.3280 Å, α = 90.00°, β = 90.00° and γ = 120.00°. The inequivalent atoms are Th at (0.0000, 0.0000, 0.0000) and Sc at (0.0000, 0.0000, 0.5000).

Its energy above the lowest structure with this stoichiometry is 4 meV/atom. As for the total DFT energy (no corrections): -6.815 eV/atom. The calculation puts the density at 8.15 Mg/m³. Its formation energy is 0.0607 eV/atom.

Record 4
This record from Alexandria via LeMat-Bulk describes crystalline KTlPbCl6 at its relaxed geometry. The functional is GGA-PBE.

It has space group P-31c (No. 163), with a = 7.2944 Å, b = 7.2944 Å, c = 13.3184 Å, α = 90.00°, β = 90.00° and γ = 120.00°. The inequivalent atoms are K at (0.0000, 0.0000, 0.0000), Tl at (0.3333, 0.6667, 0.2500), Pb at (0.3333, 0.6667, 0.7500) and Cl at (0.0290, 0.3806, 0.1351).

Its formation energy from raw total energies is -1.14 eV/atom. As for the total DFT energy (no corrections): -3.169 eV/atom. The calculation puts the density at 3.59 Mg/m³.

Record 5
This record from Alexandria via LeMat-Bulk describes crystalline MnSnPHS at its relaxed geometry. The functional is GGA-PBE.

It has space group Cm (No. 8), with a = 14.729 Å, b = 3.124 Å, c = 3.119 Å, α = 90.00°, β = 90.10° and γ = 90.00°. The inequivalent atoms are Mn at (0.000, 0.000, 0.000), Sn at (0.291, 0.500, 0.998), P at (0.425, 0.000, 0.500), H at (0.046, 0.500, 0.001) and S at (0.112, 0.000, 0.501).

Its energy above the lowest structure with this stoichiometry is 103 meV/atom. As for the total DFT energy (no corrections): -5.201 eV/atom. The calculation puts the density at 5.50 Mg/m³.

Record 6
This record from Alexandria via LeMat-Bulk describes crystalline Ho5Tm5Sb6 at its relaxed geometry. The functional is GGA-PBE.

It has space group Amm2 (No. 38), with a = 6.249 Å, b = 15.432 Å, c = 8.891 Å, α = 90.00°, β = 90.00° and γ = 90.00°. The inequivalent atoms are Ho at (0.000, 0.000, 0.000), Ho at (0.250, 0.166, 0.254), Tm at (0.000, 0.123, 0.632), Tm at (0.500, 0.000, 0.510), Tm at (0.500, 0.123, 0.878), Sb at (0.000, 0.000, 0.367), Sb at (0.000, 0.195, 0.948), Sb at (0.500, 0.000, 0.143) and Sb at (0.500, 0.194, 0.560).

Its formation energy from raw total energies is -0.88 eV/atom. As for the total DFT energy (no corrections): -5.252 eV/atom. The calculation puts the density at 9.30 Mg/m³.

Record 7
This record from Alexandria via LeMat-Bulk describes crystalline KPHSe3 at its relaxed geometry. The functional is GGA-PBE.

It has space group C2/m (No. 12), with a = 12.738 Å, b = 7.470 Å, c = 7.061 Å, α = 90.00°, β = 107.35° and γ = 90.00°. The inequivalent atoms are K at (0.203, 0.000, 0.203), P at (0.029, 0.500, 0.170), H at (0.000, 0.271, 0.500), Se at (0.052, 0.253, 0.763) and Se at (0.207, 0.500, 0.277).

As for the total DFT energy (no corrections): -3.815 eV/atom. The calculation puts the density at 3.19 Mg/m³.

Record 8
This record from Alexandria via LeMat-Bulk describes crystalline NiHg2P at its relaxed geometry. The functional is GGA-PBE.

It has space group C2/m (No. 12), with a = 5.687 Å, b = 9.309 Å, c = 4.065 Å, α = 90.00°, β = 134.24° and γ = 90.00°. The inequivalent atoms are Ni at (0.000, 0.000, 0.000), Hg at (0.250, 0.250, 0.500) and P at (0.000, 0.500, 0.000).

As for the total DFT energy (no corrections): -2.443 eV/atom. The calculation puts the density at 10.57 Mg/m³. Its formation energy is 0.5056 eV/atom.

Record 9
This record from Alexandria via LeMat-Bulk describes crystalline Ag2OsRh at its relaxed geometry. The functional is GGA-PBE.

It has space group I-42d (No. 122), with a = 7.412 Å, b = 7.412 Å, c = 5.133 Å, α = 90.00°, β = 90.00° and γ = 90.00°. The inequivalent atoms are Ag at (0.248, 0.250, 0.125), Os at (0.000, 0.000, 0.000) and Rh at (0.000, 0.000, 0.500).

Its energy above the lowest structure with this stoichiometry is 936 meV/atom. As for the total DFT energy (no corrections): -4.871 eV/atom. The calculation puts the density at 11.98 Mg/m³. Its formation energy is 1.1998 eV/atom.

Record 10
This record from Alexandria via LeMat-Bulk describes crystalline Ba2NiHg at its relaxed geometry. The functional is GGA-PBE.

It has space group P4mm (No. 99), with a = 4.771 Å, b = 4.771 Å, c = 6.710 Å, α = 90.00°, β = 90.00° and γ = 90.00°. The inequivalent atoms are Ba at (0.000, 0.000, 0.000), Ba at (0.500, 0.500, 0.499), Ni at (0.500, 0.500, 0.997) and Hg at (0.000, 0.000, 0.501).

As for the total DFT energy (no corrections): -2.459 eV/atom. The calculation puts the density at 5.81 Mg/m³. Its formation energy is 0.0230 eV/atom.

Record 11
This record from Alexandria via LeMat-Bulk describes crystalline SiAsOs2 at its relaxed geometry. The functional is GGA-PBE.

It has space group R-3m (No. 166, hexagonal axes), with a = 2.8931 Å, b = 2.8931 Å, c = 23.6837 Å, α = 90.00°, β = 90.00° and γ = 120.00°. The inequivalent atoms are Si at (0.0000, 0.0000, 0.0000), As at (0.0000, 0.0000, 0.5000) and Os at (0.0000, 0.0000, 0.2542).

Its formation energy from raw total energies is 0.12 eV/atom. Its energy above the lowest structure with this stoichiometry is 80 meV/atom. As for the total DFT energy (no corrections): -8.014 eV/atom. The calculation puts the density at 14.03 Mg/m³.